Crystalline GaCuTe2 at its relaxed geometry. Source: OQMD, functional PBE.

Properties
The value obtained for the uncorrected energy is -3.545 eV/atom.

abc: 6.093 6.093 12.119
angles: 90.00 90.00 90.00
Space group I-4 (No. 82)
Unique sites:
Ga1 0.000 0.000 0.000 [2 per cell]
Ga2 0.000 0.500 0.250 [2 per cell]
Cu1 0.000 0.000 0.500 [2 per cell]
Cu2 0.000 0.500 0.750 [2 per cell]
Te1 0.238 0.251 0.625 [8 per cell]